This record from OQMD describes crystalline Lu at its relaxed geometry. The functional is PBE.

The structure belongs to space group P6_3/mmc (No. 194); the cell edges are 3.4632, 3.4632 and 11.0869 Å and the angles 90.00°, 90.00° and 120.00°. Symmetry generates all atoms from Lu at (0.0000, 0.0000, 0.0000) and Lu at (0.3333, 0.6667, 0.2500).

Its energy above the most stable polymorph in this dataset is 20 meV per atom. The calculation puts the energy of formation from the pure elements at 0.0202 eV per atom.